Computed, not measured: a relaxed Cr2Ga2Si crystal at the PBE level of DFT.

abc: 5.971 5.971 3.949
angles: 90.00 90.00 90.00
Space group P4/mbm (No. 127)
Asymmetric unit:
Cr (0.135, 0.365, 0.000)
Ga (0.164, 0.664, 0.500)
Si (0.000, 0.000, 0.000)

Calculated values
Uncorrected formation energy   12 meV/atom
Total DFT energy (no corrections)   -6.133 eV per atom